[1]
Below is crystalline La4Tl5Ag at its relaxed geometry, with properties calculated at the PBE level.

a = 17.2431 Å, b = 5.3946 Å, c = 6.7482 Å
α = 90.00°, β = 105.11°, γ = 90.00°
Closest atoms and distances in Å follow each position.
Space group C2/m (No. 12)
Asymmetric unit:
La1 0.0904 0.0000 0.3248 (multiplicity 4)  5 Tl 3.18-3.46, 2 Ag 3.47
La2 0.1899 0.5000 0.8182 (multiplicity 4)  6 Tl 3.14-3.46, 1 Ag 3.42
Tl1 0.0000 0.5000 0.0000 (multiplicity 2)  2 Ag 3.37, 6 Tl 3.51-3.78, 4 La 3.57
Tl2 0.0997 0.0000 0.8437 (multiplicity 4)  5 La 3.14-3.46, 2 Tl 3.51
Tl3 0.2134 0.5000 0.3316 (multiplicity 4)  7 La 3.38-3.57, 4 Tl 3.54-3.78
Ag1 0.0000 0.5000 0.5000 (multiplicity 2)  6 Tl 3.37-3.68, 6 La 3.42-3.47

Computed properties:
As for the density of states at the Fermi level: 7.2 states/eV/f.u. Its volume is 303.0 Å³/f.u. For the formation energy, the calculation gives -0.34 eV per atom.

[2]
Below is crystalline ReTc2W at its relaxed geometry, with properties calculated at the PBE level.

a = 2.7644 Å, b = 2.7644 Å, c = 27.4938 Å
α = 90.00°, β = 90.00°, γ = 120.00°
Closest atoms and distances in Å follow each position.
Space group R3m (No. 160, hexagonal axes)
Asymmetric unit:
Re1 0.0000 0.0000 0.0000 (multiplicity 3)  3 Tc 2.74, 6 Re 2.76, 3 W 2.86
Tc1 0.0000 0.0000 0.2523 (multiplicity 3)  9 Tc 2.74-2.76, 3 Re 2.74
Tc2 0.0000 0.0000 0.5047 (multiplicity 3)  9 Tc 2.74-2.76, 3 W 2.83
W1 0.0000 0.0000 0.7530 (multiplicity 3)  6 W 2.76, 3 Tc 2.83, 3 Re 2.86

Computed properties:
As for the density of states at the Fermi level: 4.8 states/eV/f.u. The calculation puts the relative energy among the computed polymorphs at 0.17 eV per formula unit. Its volume is 60.7 Å³/f.u. For the formation energy, the calculation gives 0.16 eV per atom.

[3]
Below is crystalline BaMnZnSb2 at its relaxed geometry, with properties calculated at the PBE level.

a = 5.9775 Å, b = 5.9775 Å, c = 5.4147 Å
α = 90.00°, β = 90.00°, γ = 90.00°
Closest atoms and distances in Å follow each position.
Space group P4/mmm (No. 123)
Asymmetric unit:
Ba1 0.0000 0.0000 0.0000 (multiplicity 1)  2 Zn 2.71, 4 Sb 2.99
Mn1 0.5000 0.5000 0.5000 (multiplicity 1)  8 Sb 4.03, 4 Zn 4.23
Zn1 0.0000 0.0000 0.5000 (multiplicity 1)  2 Ba 2.71
Sb1 0.0000 0.5000 0.0000 (multiplicity 2)  2 Ba 2.99

Computed properties:
As for the density of states at the Fermi level: 11.0 states/eV/f.u. Its volume is 193.5 Å³/f.u. The formation energy from raw total energies is 9.2 eV/f.u.

[4]
Below is crystalline PrSm3Sn2 at its relaxed geometry, with properties calculated at the PBE level.

a = 4.6145 Å, b = 4.6145 Å, c = 8.7985 Å
α = 90.00°, β = 90.00°, γ = 90.00°
Closest atoms and distances in Å follow each position.
Space group P-4m2 (No. 115)
Asymmetric unit:
Pr1 0.0000 0.0000 0.0000 (multiplicity 1)  4 Sm 3.26, 4 Sn 3.39
Sm1 0.0000 0.5000 0.3509 (multiplicity 2)  5 Sn 3.22-3.32
Sm2 0.5000 0.5000 0.0000 (multiplicity 1)  4 Pr 3.26, 4 Sn 3.39
Sn1 0.0000 0.5000 0.7170 (multiplicity 2)  7 Sm 3.22-3.39, 2 Pr 3.39

Computed properties:
As for the density of states at the Fermi level: 7.5 states/eV/f.u. The calculation puts the relative energy among the computed polymorphs at 0.00 eV per formula unit. Its volume is 187.4 Å³/f.u. For the formation energy, the calculation gives -0.57 eV per atom.

[5]
Below is crystalline CdTe at its relaxed geometry, with properties calculated at the PBE level.

a = 7.4562 Å, b = 4.8547 Å, c = 8.0550 Å
α = 90.00°, β = 90.00°, γ = 90.00°
Closest atoms and distances in Å follow each position.
Space group Pnma (No. 62)
Asymmetric unit:
Cd1 0.1328 0.2500 0.1173 (multiplicity 4)  4 Te 2.84-2.91
Te1 0.2499 0.2500 0.4530 (multiplicity 4)  4 Cd 2.84-2.91

Computed properties:
Its volume is 72.9 Å³/f.u. The formation energy from raw total energies is -0.8 eV/f.u.

[6]
Below is crystalline AcPr2Al at its relaxed geometry, with properties calculated at the PBE level.

a = 8.0134 Å, b = 8.0134 Å, c = 8.0134 Å
α = 90.00°, β = 90.00°, γ = 90.00°
Closest atoms and distances in Å follow each position.
Space group Fm-3m (No. 225)
Asymmetric unit:
Ac1 0.0000 0.0000 0.0000 (multiplicity 4)  8 Pr 3.47
Pr1 0.2500 0.2500 0.2500 (multiplicity 8)  4 Ac 3.47, 4 Al 3.47
Al1 0.0000 0.0000 0.5000 (multiplicity 4)  8 Pr 3.47

Computed properties:
As for the density of states at the Fermi level: 7.2 states/eV/f.u. The calculation puts the relative energy among the computed polymorphs at 0.71 eV per formula unit. Its volume is 128.6 Å³/f.u. For the formation energy, the calculation gives 0.04 eV per atom.